No. 1
Computed, not measured: an optimized crystal structure of ZnTe2IF at the PBE-GGA level of DFT.

E above lowest polymorph, kJ/mol of atoms: 0.0
Density of states at the Fermi level, states/eV/atom: 0.893
Volume, Å³ per atom: 32.5
Uncorrected formation energy, kJ/mol of formula units: 12

a b c (Å): 4.613 4.613 7.639
angles (deg): 90.00 90.00 90.00
Space group P4/mmm (No. 123)
Asymmetric unit:
Zn 0.000 0.000 0.000 x1
Te 0.000 0.500 0.500 x2
I 0.500 0.500 0.000 x1
F 0.500 0.500 0.500 x1

---

No. 2
Computed, not measured: an optimized crystal structure of ZnTe2IF at the PBE-GGA level of DFT.

E above lowest polymorph, kJ/mol of atoms: 15.4
Density of states at the Fermi level, states/eV/atom: 1.217
Volume, Å³ per atom: 30.2
Uncorrected formation energy, kJ/mol of formula units: 89

a b c (Å): 5.269 5.269 5.446
angles (deg): 90.00 90.00 90.00
Space group P4/mmm (No. 123)
Asymmetric unit:
Zn 0.000 0.000 0.000 x1
Te 0.000 0.500 0.000 x2
I 0.000 0.000 0.500 x1
F 0.500 0.500 0.500 x1

---

No. 3
Computed, not measured: an optimized crystal structure of ZnTeI2F at the PBE-GGA level of DFT.

E above lowest polymorph, kJ/mol of atoms: 0.0
Density of states at the Fermi level, states/eV/atom: 0.952
Volume, Å³ per atom: 30.5
Uncorrected formation energy, kJ/mol of formula units: 3

a b c (Å): 5.998 5.998 4.233
angles (deg): 90.00 90.00 90.00
Space group P4/mmm (No. 123)
Asymmetric unit:
Zn 0.000 0.000 0.000 x1
Te 0.500 0.500 0.000 x1
I 0.000 0.500 0.500 x2
F 0.500 0.500 0.500 x1

---

No. 4
Computed, not measured: an optimized crystal structure of ZnTeI2F at the PBE-GGA level of DFT.

E above lowest polymorph, kJ/mol of atoms: 9.4
Density of states at the Fermi level, states/eV/atom: 1.854
Volume, Å³ per atom: 32.3
Uncorrected formation energy, kJ/mol of formula units: 49

a b c (Å): 5.474 5.474 5.382
angles (deg): 90.00 90.00 90.00
Space group P4/mmm (No. 123)
Asymmetric unit:
Zn 0.000 0.000 0.000 x1
Te 0.000 0.000 0.500 x1
I 0.000 0.500 0.000 x2
F 0.500 0.500 0.500 x1

---

No. 5
Computed, not measured: an optimized crystal structure of ZrTe2IF at the PBE-GGA level of DFT.

E above lowest polymorph, kJ/mol of atoms: 32.6
Density of states at the Fermi level, states/eV/atom: 1.119
Volume, Å³ per atom: 26.2
Uncorrected formation energy, kJ/mol of formula units: -17

a b c (Å): 4.723 4.723 5.867
angles (deg): 90.00 90.00 90.00
Space group P4/mmm (No. 123)
Asymmetric unit:
Zr 0.000 0.000 0.000 x1
Te 0.000 0.500 0.500 x2
I 0.500 0.500 0.000 x1
F 0.500 0.500 0.500 x1

---

No. 6
Computed, not measured: an optimized crystal structure of ZrTe2IF at the PBE-GGA level of DFT.

E above lowest polymorph, kJ/mol of atoms: 0.0
Density of states at the Fermi level, states/eV/atom: 1.761
Volume, Å³ per atom: 35.2
Uncorrected formation energy, kJ/mol of formula units: -181

a b c (Å): 5.571 5.571 5.671
angles (deg): 90.00 90.00 90.00
Space group P4/mmm (No. 123)
Asymmetric unit:
Zr 0.000 0.000 0.000 x1
Te 0.000 0.500 0.000 x2
I 0.000 0.000 0.500 x1
F 0.500 0.500 0.500 x1

---

No. 7
Computed, not measured: an optimized crystal structure of ThI3F at the PBE-GGA level of DFT.

Density of states at the Fermi level, states/eV/atom: 0.000
Volume, Å³ per atom: 47.7
Uncorrected formation energy, kJ/mol of formula units: -921

a b c (Å): 14.361 14.361 4.629
angles (deg): 90.00 90.00 90.00
Space group P4_2/mnm (No. 136)
Asymmetric unit:
Th 0.120 0.120 0.000 x4
I 0.101 0.325 0.000 x8
I 0.103 0.897 0.000 x4
F 0.112 0.112 0.500 x4

---

No. 8
Computed, not measured: an optimized crystal structure of Th2I8F at the PBE-GGA level of DFT.

Density of states at the Fermi level, states/eV/atom: 1.048
Volume, Å³ per atom: 50.3
Uncorrected formation energy, kJ/mol of formula units: -1428

a b c (Å): 12.634 9.692 9.085
angles (deg): 90.00 95.28 90.00
Space group C2/m (No. 12)
Asymmetric unit:
Th 0.185 0.000 0.495 x4
I 0.120 0.000 0.168 x4
I 0.132 0.299 0.619 x8
I 0.179 0.500 0.214 x4
F 0.000 0.000 0.500 x2

---

No. 9
Computed, not measured: an optimized crystal structure of ThTl2I4F2 at the PBE-GGA level of DFT.

Density of states at the Fermi level, states/eV/atom: 0.000
Volume, Å³ per atom: 40.2
Uncorrected formation energy, kJ/mol of formula units: -1483

a b c (Å): 13.830 8.691 6.017
angles (deg): 90.00 91.76 90.00
Space group C2/m (No. 12)
Asymmetric unit:
Th 0.000 0.000 0.000 x2
Tl 0.175 0.500 0.758 x4
I 0.129 0.259 0.232 x8
F 0.098 0.000 0.740 x4

---

No. 10
Computed, not measured: an optimized crystal structure of TiIF3 at the PBE-GGA level of DFT.

E above lowest polymorph, kJ/mol of atoms: 0.0
Volume, Å³ per atom: 23.0
Uncorrected formation energy, kJ/mol of formula units: -1270

a b c (Å): 5.903 5.237 7.428
angles (deg): 90.00 90.04 90.00
Space group P2_1 (No. 4)
Asymmetric unit:
Ti 0.250 0.000 0.006 x2
I 0.250 0.981 0.357 x2
F 0.023 0.758 0.957 x2
F 0.250 0.156 0.790 x2
F 0.477 0.758 0.957 x2

---

No. 11
Computed, not measured: an optimized crystal structure of Ti3IF at the PBE-GGA level of DFT.

E above lowest polymorph, kJ/mol of atoms: 116.4
Density of states at the Fermi level, states/eV/atom: 1.546
Volume, Å³ per atom: 26.8
Uncorrected formation energy, kJ/mol of formula units: 474

a b c (Å): 5.117 5.117 5.117
angles (deg): 90.00 90.00 90.00
Space group Pm-3m (No. 221)
Asymmetric unit:
Ti 0.000 0.000 0.500 x3
I 0.000 0.000 0.000 x1
F 0.500 0.500 0.500 x1

---

No. 12
Computed, not measured: an optimized crystal structure of TiIF2 at the PBE-GGA level of DFT.

E above lowest polymorph, kJ/mol of atoms: 0.0
Density of states at the Fermi level, states/eV/atom: 0.941
Volume, Å³ per atom: 21.9
Uncorrected formation energy, kJ/mol of formula units: -814

a b c (Å): 6.235 6.235 8.994
angles (deg): 90.00 90.00 90.00
Space group I4_1/amd (No. 141, origin choice 2)
Asymmetric unit:
Ti 0.000 0.250 0.375 x4
I 0.000 0.250 0.875 x4
F 0.000 0.000 0.500 x8

---

No. 13
Computed, not measured: an optimized crystal structure of TiIF2 at the PBE-GGA level of DFT.

E above lowest polymorph, kJ/mol of atoms: 99.4
Density of states at the Fermi level, states/eV/atom: 0.792
Volume, Å³ per atom: 15.9
Uncorrected formation energy, kJ/mol of formula units: -416

a b c (Å): 6.340 6.340 6.340
angles (deg): 90.00 90.00 90.00
Space group Fm-3m (No. 225)
Asymmetric unit:
Ti 0.000 0.000 0.000 x4
I 0.000 0.000 0.500 x4
F 0.250 0.250 0.250 x8

---

No. 14
Computed, not measured: an optimized crystal structure of TiIF3 at the PBE-GGA level of DFT.

E above lowest polymorph, kJ/mol of atoms: 63.2
Density of states at the Fermi level, states/eV/atom: 2.274
Volume, Å³ per atom: 15.0
Uncorrected formation energy, kJ/mol of formula units: -955

a b c (Å): 4.216 4.216 4.216
angles (deg): 90.00 90.00 90.00
Space group Pm-3m (No. 221)
Asymmetric unit:
Ti 0.000 0.000 0.000 x1
I 0.500 0.500 0.500 x1
F 0.000 0.000 0.500 x3

---

No. 15
Computed, not measured: an optimized crystal structure of Ti3IF at the PBE-GGA level of DFT.

E above lowest polymorph, kJ/mol of atoms: 0.0
Density of states at the Fermi level, states/eV/atom: 0.785
Volume, Å³ per atom: 15.9
Uncorrected formation energy, kJ/mol of formula units: -108

a b c (Å): 4.302 4.302 4.302
angles (deg): 90.00 90.00 90.00
Space group Pm-3m (No. 221)
Asymmetric unit:
Ti 0.000 0.000 0.500 x3
I 0.500 0.500 0.500 x1
F 0.000 0.000 0.000 x1

---

No. 16
Computed, not measured: an optimized crystal structure of TiIF3 at the PBE-GGA level of DFT.

E above lowest polymorph, kJ/mol of atoms: 235.1
Density of states at the Fermi level, states/eV/atom: 4.402
Volume, Å³ per atom: 22.0
Uncorrected formation energy, kJ/mol of formula units: -95

a b c (Å): 4.794 4.794 4.794
angles (deg): 90.00 90.00 90.00
Space group Pm-3m (No. 221)
Asymmetric unit:
Ti 0.000 0.000 0.000 x1
I 0.500 0.500 0.500 x1
F 0.000 0.500 0.500 x3

---

No. 17
Computed, not measured: an optimized crystal structure of TiI3F at the PBE-GGA level of DFT.

Density of states at the Fermi level, states/eV/atom: 3.394
Volume, Å³ per atom: 31.9
Uncorrected formation energy, kJ/mol of formula units: -233

a b c (Å): 5.423 5.423 5.423
angles (deg): 90.00 90.00 90.00
Space group Pm-3m (No. 221)
Asymmetric unit:
Ti 0.000 0.000 0.000 x1
I 0.000 0.000 0.500 x3
F 0.500 0.500 0.500 x1

---

No. 18
Computed, not measured: an optimized crystal structure of TiIF2 at the PBE-GGA level of DFT.

E above lowest polymorph, kJ/mol of atoms: 17.1
Density of states at the Fermi level, states/eV/atom: 0.953
Volume, Å³ per atom: 22.7
Uncorrected formation energy, kJ/mol of formula units: -745

a b c (Å): 3.4161 3.4161 26.9058
angles (deg): 90.00 90.00 120.00
Space group R-3m (No. 166, hexagonal axes)
Asymmetric unit:
Ti 0.0000 0.0000 0.0000 x3
I 0.0000 0.0000 0.5000 x3
F 0.0000 0.0000 0.3653 x6

---

No. 19
Computed, not measured: an optimized crystal structure of TiTl3I2F6 at the PBE-GGA level of DFT.

Density of states at the Fermi level, states/eV/atom: 0.254
Volume, Å³ per atom: 27.0
Uncorrected formation energy, kJ/mol of formula units: -2411

a b c (Å): 15.722 7.025 5.891
angles (deg): 90.00 94.15 90.00
Space group C2/m (No. 12)
Asymmetric unit:
Ti 0.000 0.000 0.000 x2
Tl 0.000 0.500 0.500 x2
Tl 0.250 0.250 0.000 x4
I 0.190 0.500 0.485 x4
F 0.017 0.194 0.785 x8
F 0.121 0.000 0.081 x4

---

No. 20
Computed, not measured: an optimized crystal structure of TiTlIF2 at the PBE-GGA level of DFT.

Density of states at the Fermi level, states/eV/atom: 1.518
Volume, Å³ per atom: 25.3
Uncorrected formation energy, kJ/mol of formula units: -362

a b c (Å): 4.514 4.514 6.206
angles (deg): 90.00 90.00 90.00
Space group P4/mmm (No. 123)
Asymmetric unit:
Ti 0.000 0.000 0.000 x1
Tl 0.000 0.000 0.500 x1
I 0.500 0.500 0.000 x1
F 0.000 0.500 0.500 x2

---

No. 21
Computed, not measured: an optimized crystal structure of TiTl2I4F2 at the PBE-GGA level of DFT.

Volume, Å³ per atom: 36.3
Uncorrected formation energy, kJ/mol of formula units: -1204

a b c (Å): 11.854 8.185 6.812
angles (deg): 90.00 98.96 90.00
Space group C2/m (No. 12)
Asymmetric unit:
Ti 0.000 0.000 0.000 x2
Tl 0.151 0.500 0.859 x4
I 0.110 0.242 0.253 x8
F 0.123 0.000 0.865 x4